[1]
This record from Alexandria describes crystalline LaPr2Th3Te6 at its relaxed geometry. The functional is PBE.

ΔE_f (raw), meV/atom: -1238
Size of the total moment, μB/atom: 0.000
Crystal system: monoclinic
Uncorrected energy, eV per atom: -5.87
Symmetry: C2/m (12)

Cell lengths 10.167, 10.167, 8.907 Å; angles 104.89, 104.89, 25.91 degrees
Atoms (fractional coordinates):
La 0.000 0.000 0.000
Pr 0.333 0.333 0.667
Pr 0.667 0.667 0.333
Th 0.000 0.000 0.500
Th 0.334 0.334 0.167
Th 0.666 0.666 0.833
Te 0.166 0.166 0.584
Te 0.168 0.168 0.083
Te 0.500 0.500 0.253
Te 0.500 0.500 0.747
Te 0.832 0.832 0.917
Te 0.834 0.834 0.416

=====

[2]
This record from Alexandria describes crystalline BeCrTeN2 at its relaxed geometry. The functional is PBE.

ΔE_f (raw), meV/atom: 602
Size of the total moment, μB/atom: 0.002
Energy above the most stable polymorph in this dataset, eV/atom: 0.000
Crystal system: tetragonal
Uncorrected energy, eV per atom: -6.03
Symmetry: P4/mmm (123)

Cell lengths 3.638, 3.638, 5.579 Å; angles 90.00, 90.00, 90.00 degrees
Atoms (fractional coordinates):
Be 0.000 0.000 0.000
Cr 0.500 0.500 0.500
Te 0.500 0.500 0.000
N 0.000 0.500 0.500
N 0.500 0.000 0.500

=====

[3]
This record from Alexandria describes crystalline K2NdBiSe4 at its relaxed geometry. The functional is PBE.

ΔE_f (raw), meV/atom: -1278
Size of the total moment, μB/atom: 0.000
Crystal system: monoclinic
Uncorrected energy, eV per atom: -4.38
Symmetry: P2/m (10)

Cell lengths 7.521, 4.337, 8.114 Å; angles 90.00, 107.93, 90.00 degrees
Atoms (fractional coordinates):
K 0.000 0.000 0.000
K 0.500 0.500 0.000
Nd 0.000 0.500 0.500
Bi 0.500 0.000 0.500
Se 0.237 0.000 0.711
Se 0.263 0.500 0.288
Se 0.737 0.500 0.712
Se 0.763 0.000 0.289

=====

[4]
This record from Alexandria describes crystalline SnHgSbAu3 at its relaxed geometry. The functional is PBE.

ΔE_f (raw), meV/atom: -23
Size of the total moment, μB/atom: 0.000
Crystal system: monoclinic
Uncorrected energy, eV per atom: -3.07
Symmetry: P2_1/m (11)

Cell lengths 8.573, 3.741, 8.576 Å; angles 90.00, 92.67, 90.00 degrees
Atoms (fractional coordinates):
Sn 0.163 0.250 0.234
Sn 0.837 0.750 0.766
Hg 0.136 0.250 0.572
Hg 0.864 0.750 0.428
Sb 0.335 0.750 0.900
Sb 0.665 0.250 0.100
Au 0.084 0.250 0.899
Au 0.402 0.750 0.575
Au 0.414 0.750 0.228
Au 0.586 0.250 0.772
Au 0.598 0.250 0.425
Au 0.916 0.750 0.101

=====

[5]
This record from Alexandria describes crystalline YAs4Pd6 at its relaxed geometry. The functional is PBE.

Size of the total moment, μB/atom: 0.000
Energy relative to the elements, meV per atom: -567
Crystal system: hexagonal
Uncorrected energy, eV per atom: -5.68
Symmetry: P-6m2 (187)

Cell lengths 7.417, 7.417, 3.998 Å; angles 90.00, 90.00, 120.00 degrees
Atoms (fractional coordinates):
Y 0.000 0.000 0.000
As 0.333 0.667 0.000
As 0.374 0.187 0.500
As 0.813 0.187 0.500
As 0.813 0.626 0.500
Pd 0.196 0.392 0.500
Pd 0.196 0.804 0.500
Pd 0.535 0.070 0.000
Pd 0.535 0.465 0.000
Pd 0.608 0.804 0.500
Pd 0.930 0.465 0.000

=====

[6]
This record from Alexandria describes crystalline Sc2TaCo at its relaxed geometry. The functional is PBE.

Size of the total moment, μB/atom: 0.007
Energy above the most stable polymorph in this dataset, eV/atom: 0.326
Energy relative to the elements, meV per atom: 245
Crystal system: tetragonal
Uncorrected energy, eV per atom: -7.66
Symmetry: I4/mmm (139)

Cell lengths 5.381, 5.381, 5.381 Å; angles 137.30, 137.30, 61.97 degrees
Atoms (fractional coordinates):
Sc 0.250 0.750 0.500
Sc 0.750 0.250 0.500
Ta 0.000 0.000 0.000
Co 0.500 0.500 0.000

=====

[7]
This record from Alexandria describes crystalline Pm3Ge4 at its relaxed geometry. The functional is PBE.

Size of the total moment, μB/atom: 0.000
Energy above the most stable polymorph in this dataset, eV/atom: 0.039
Energy relative to the elements, meV per atom: -756
Crystal system: orthorhombic
Uncorrected energy, eV per atom: -5.43
Symmetry: Immm (71)

Cell lengths 9.746, 9.746, 9.746 Å; angles 155.76, 153.97, 35.86 degrees
Atoms (fractional coordinates):
Pm 0.000 0.000 0.000
Pm 0.181 0.681 0.500
Pm 0.819 0.319 0.500
Ge 0.344 0.844 0.500
Ge 0.433 0.433 0.000
Ge 0.567 0.567 0.000
Ge 0.656 0.156 0.500

=====

[8]
This record from Alexandria describes crystalline TbY2Rh2 at its relaxed geometry. The functional is PBE.

Size of the total moment, μB/atom: 0.000
Energy above the most stable polymorph in this dataset, eV/atom: 0.097
Energy relative to the elements, meV per atom: -593
Crystal system: orthorhombic
Uncorrected energy, eV per atom: -7.05
Symmetry: Cmcm (63)

Cell lengths 13.339, 13.339, 4.628 Å; angles 90.00, 90.00, 163.49 degrees
Atoms (fractional coordinates):
Tb 0.137 0.863 0.750
Tb 0.863 0.137 0.250
Y 0.235 0.765 0.250
Y 0.448 0.552 0.750
Y 0.552 0.448 0.250
Y 0.765 0.235 0.750
Rh 0.033 0.967 0.750
Rh 0.339 0.661 0.750
Rh 0.661 0.339 0.250
Rh 0.967 0.033 0.250

=====

[9]
This record from Alexandria describes crystalline Li12NdAu6 at its relaxed geometry. The functional is PBE.

Size of the total moment, μB/atom: 0.000
Energy relative to the elements, meV per atom: -363
Crystal system: trigonal
Uncorrected energy, eV per atom: -2.86
Symmetry: R-3m (166)

Cell lengths 7.270, 7.270, 7.270 Å; angles 101.77, 101.77, 101.77 degrees
Atoms (fractional coordinates):
Li 0.000 0.390 0.610
Li 0.000 0.610 0.390
Li 0.050 0.050 0.327
Li 0.050 0.327 0.050
Li 0.327 0.050 0.050
Li 0.390 0.000 0.610
Li 0.390 0.610 0.000
Li 0.610 0.000 0.390
Li 0.610 0.390 0.000
Li 0.673 0.950 0.950
Li 0.950 0.673 0.950
Li 0.950 0.950 0.673
Nd 0.500 0.500 0.500
Au 0.236 0.733 0.733
Au 0.267 0.267 0.764
Au 0.267 0.764 0.267
Au 0.733 0.236 0.733
Au 0.733 0.733 0.236
Au 0.764 0.267 0.267

=====

[10]
This record from Alexandria describes crystalline Li2Ac3Ni7 at its relaxed geometry. The functional is PBE.

Size of the total moment, μB/atom: 0.000
Energy relative to the elements, meV per atom: -158
Crystal system: trigonal
Uncorrected energy, eV per atom: -4.88
Symmetry: R-3m (166)

Cell lengths 9.035, 9.035, 9.035 Å; angles 33.80, 33.80, 33.80 degrees
Atoms (fractional coordinates):
Li 0.166 0.166 0.166
Li 0.834 0.834 0.834
Ac 0.363 0.363 0.363
Ac 0.500 0.500 0.500
Ac 0.637 0.637 0.637
Ni 0.000 0.000 0.000
Ni 0.081 0.081 0.584
Ni 0.081 0.584 0.081
Ni 0.416 0.919 0.919
Ni 0.584 0.081 0.081
Ni 0.919 0.416 0.919
Ni 0.919 0.919 0.416

=====

[11]
This record from Alexandria describes crystalline Fe5GeN at its relaxed geometry. The functional is PBE.

ΔE_f (raw), meV/atom: 161
Size of the total moment, μB/atom: 1.278
Crystal system: tetragonal
Uncorrected energy, eV per atom: -7.73
Symmetry: P4/mmm (123)

Cell lengths 3.466, 3.466, 6.265 Å; angles 90.00, 90.00, 90.00 degrees
Atoms (fractional coordinates):
Fe 0.000 0.000 0.000
Fe 0.000 0.500 0.309
Fe 0.000 0.500 0.691
Fe 0.500 0.000 0.309
Fe 0.500 0.000 0.691
Ge 0.500 0.500 0.000
N 0.000 0.000 0.500

=====

[12]
This record from Alexandria describes crystalline La4TeAsS2 at its relaxed geometry. The functional is PBE.

ΔE_f (raw), meV/atom: -1873
Size of the total moment, μB/atom: 0.000
Crystal system: monoclinic
Uncorrected energy, eV per atom: -6.34
Symmetry: P2/m (10)

Cell lengths 7.481, 4.294, 7.526 Å; angles 90.00, 109.12, 90.00 degrees
Atoms (fractional coordinates):
La 0.225 0.000 0.227
La 0.237 0.500 0.760
La 0.763 0.500 0.240
La 0.775 0.000 0.773
Te 0.500 0.500 0.500
As 0.500 0.000 0.000
S 0.000 0.000 0.500
S 0.000 0.500 0.000